1.
BaAl2Co: PBEsol geometry, meta-GGA SCAN.

Lattice parameters (Å, degrees): 6.8807 6.8807 6.8807 90.00 90.00 90.00
Space group F-43m (No. 216)
Symmetry-distinct sites (fractional):
1 Ba 0.0000 0.0000 0.0000 (multiplicity 4)
2 Al 0.0000 0.0000 0.5000 (multiplicity 4)
3 Al 0.2500 0.2500 0.7500 (multiplicity 4)
4 Co 0.2500 0.2500 0.2500 (multiplicity 4)

=====

2.
BaAlCo2: PBEsol geometry, meta-GGA SCAN.

Lattice parameters (Å, degrees): 3.2034 3.2034 7.0132 90.00 90.00 90.00
Space group P4/mmm (No. 123)
Symmetry-distinct sites (fractional):
1 Ba 0.0000 0.0000 0.0000 (multiplicity 1)
2 Al 0.0000 0.0000 0.5000 (multiplicity 1)
3 Co 0.5000 0.5000 0.3416 (multiplicity 2)

=====

3.
BaAlCo: PBEsol geometry, meta-GGA SCAN.

Lattice parameters (Å, degrees): 6.6169 6.6169 6.6169 90.00 90.00 90.00
Space group F-43m (No. 216)
Symmetry-distinct sites (fractional):
1 Ba 0.0000 0.0000 0.0000 (multiplicity 4)
2 Al 0.0000 0.0000 0.5000 (multiplicity 4)
3 Co 0.2500 0.2500 0.7500 (multiplicity 4)

=====

Number 1: VASP energy -17.703 eV per atom. Number 2: VASP energy -20.157 eV per atom. Number 3: VASP energy -20.894 eV per atom.